A plane-wave DFT calculation with PBE-GGA was carried out for crystalline Li2SnWN at its relaxed geometry.

Unit cell a=4.1734 b=4.1734 c=4.0050 alpha=90.00 beta=90.00 gamma=90.00
Fractional coordinates of all 5 atoms:
Sn1 0.5000 0.5000 0.5000
W1 0.0000 0.0000 0.5000
Li1 0.0000 0.5000 0.0000
Li2 0.5000 0.0000 0.0000
N1 0.0000 0.0000 0.0000

Computed properties:
formation energy from raw total energies = -207 meV per atom
uncorrected energy = -6.028 eV per atom
density = 7.87 g cm⁻³